The following is a GGA-PBE calculation of crystalline HgPbAu2 at its relaxed geometry, from Alexandria.

- E (eV per atom) = -2.622
- total moment (μB per cell) = 0.00

Lattice parameters (Å, degrees): 5.062 5.062 5.371 106.60 106.60 45.77
Sites, in units of the cell vectors:
Hg 0.000 0.000 0.000
Pb 0.770 0.770 0.326
Au 0.254 0.254 0.781
Au 0.518 0.518 0.578


The following is a GGA-PBE calculation of crystalline HfNi2HgSe at its relaxed geometry, from Alexandria.

- E_form (uncorrected) (kJ/mol of formula units) = 534
- total moment (μB per cell) = 0.00

Lattice parameters (Å, degrees): 4.615 4.615 4.991 90.00 90.00 90.00
Sites, in units of the cell vectors:
Hf 0.000 0.000 0.000
Ni 0.000 0.500 0.500
Ni 0.500 0.000 0.500
Hg 0.500 0.500 0.500
Se 0.500 0.500 0.000


The following is a GGA-PBE calculation of crystalline Zr2CoGe2 at its relaxed geometry, from Alexandria.

- E (eV per atom) = -6.352
- total moment (μB per cell) = 2.55

Lattice parameters (Å, degrees): 6.473 6.473 6.473 141.35 141.35 55.80
Sites, in units of the cell vectors:
Zr 0.250 0.750 0.500
Zr 0.750 0.250 0.500
Co 0.000 0.000 0.000
Ge 0.398 0.398 0.000
Ge 0.602 0.602 0.000


The following is a GGA-PBE calculation of crystalline LiMgSn2 at its relaxed geometry, from Alexandria.

- E (eV per atom) = -2.860
- total moment (μB per cell) = 0.00

Lattice parameters (Å, degrees): 6.433 6.433 6.433 103.41 103.41 122.43
Sites, in units of the cell vectors:
Li 0.000 0.000 0.000
Li 0.750 0.250 0.500
Mg 0.250 0.750 0.500
Mg 0.500 0.500 0.000
Sn 0.114 0.625 0.989
Sn 0.375 0.364 0.489
Sn 0.636 0.125 0.011
Sn 0.875 0.886 0.511


The following is a GGA-PBE calculation of crystalline Ba3Mg at its relaxed geometry, from Alexandria.

- E (eV per atom) = -1.760
- total moment (μB per cell) = 0.00

Lattice parameters (Å, degrees): 4.469 4.469 12.857 90.00 90.00 120.00
Sites, in units of the cell vectors:
Ba 0.000 0.000 0.000
Ba 0.667 0.333 0.291
Ba 0.667 0.333 0.709
Mg 0.000 0.000 0.500


The following is a GGA-PBE calculation of crystalline PPdN2O at its relaxed geometry, from Alexandria.

- E_form (uncorrected) (kJ/mol of formula units) = 819
- total moment (μB per cell) = 1.51

Lattice parameters (Å, degrees): 3.928 3.928 4.007 90.00 90.00 90.00
Sites, in units of the cell vectors:
P 0.000 0.000 0.000
Pd 0.500 0.500 0.500
N 0.000 0.500 0.500
N 0.500 0.000 0.500
O 0.500 0.500 0.000